Entry 1:
VASP calculation (GGA-PBE) on Cd4CuPd after structural relaxation.

Values from the calculation:
E above lowest polymorph = 48.2 meV/atom
DFT total energy = -0.165 Ry/atom

Cell: 5.2984 6.8886 7.8755 Å, 64.18 71.56 70.29°
Space group P-1 (No. 2)
Asymmetric unit:
Cd 0.0108 0.2953 0.4858 x2
Cd 0.2454 0.8773 0.0710 x2
Cd 0.2557 0.4137 0.0666 x2
Cd 0.4627 0.9179 0.3544 x2
Cu 0.4858 0.4919 0.3425 x2
Pd 0.1464 0.8357 0.7528 x2

=====

Entry 2:
VASP calculation (GGA-PBE) on Na3YSe after structural relaxation.

Values from the calculation:
E above lowest polymorph = 932.5 meV/atom
DFT total energy = -0.138 Ry/atom
formation energy from raw total energies = 0.90 eV/atom

Cell: 6.2632 6.2632 6.2632 Å, 90.00 90.00 90.00°
Space group Pm-3m (No. 221)
Asymmetric unit:
Na 0.0000 0.0000 0.5000 x3
Y 0.0000 0.0000 0.0000 x1
Se 0.5000 0.5000 0.5000 x1

=====

Entry 3:
VASP calculation (GGA-PBE) on Ta5Co after structural relaxation.

Values from the calculation:
E above lowest polymorph = 0.0 meV/atom
DFT total energy = -0.816 Ry/atom

Cell: 10.2502 3.2901 6.3744 Å, 90.00 108.47 90.00°
Space group C2/m (No. 12)
Asymmetric unit:
Ta 0.0000 0.0000 0.0000 x2
Ta 0.1614 0.5000 0.3370 x4
Ta 0.1632 0.5000 0.8250 x4
Co 0.0000 0.0000 0.5000 x2

=====

Entry 4:
VASP calculation (GGA-PBE) on MgZnSe3 after structural relaxation.

Values from the calculation:
E above lowest polymorph = 89.9 meV/atom
DFT total energy = -0.218 Ry/atom
formation energy from raw total energies = -0.31 eV/atom

Cell: 8.2415 15.0242 4.9220 Å, 90.00 90.00 90.00°
Space group Cmcm (No. 63)
Asymmetric unit:
Mg 0.0000 0.0652 0.2500 x4
Zn 0.0000 0.5000 0.0000 x4
Se 0.0000 0.3704 0.7500 x4
Se 0.1522 0.1029 0.7500 x8